The following is a PBE calculation of crystalline Na4Zn2PtAu at its relaxed geometry, from OQMD via LeMat-Bulk.

Structure (extended XYZ):
```
8
Lattice="4.734 0.000 0.000 0.000 4.734 0.000 0.000 0.000 6.757" Properties=species:S:1:pos:R:3 pbc="T T T"
Na 0.000 0.000 0.000
Na 0.000 2.367 1.675
Na 2.367 0.000 5.082
Na 2.367 2.367 3.378
Zn 0.000 2.367 5.240
Zn 2.367 0.000 1.517
Pt 2.367 2.367 0.000
Au 0.000 0.000 3.378
```

Values from the calculation:
Its total energy is -2.30 eV per atom. For the spin magnetization, the calculation gives 0.0 Bohr magnetons per cell. The calculation puts the volume at 151.44 Å³ per cell. As for the space-group type: No. 115.

The following is a PBE calculation of crystalline NaPuAu at its relaxed geometry, from OQMD via LeMat-Bulk.

Structure (extended XYZ):
```
3
Lattice="0.000 3.524 3.524 3.524 0.000 3.524 3.524 3.524 0.000" Properties=species:S:1:pos:R:3 pbc="T T T"
Na 0.000 0.000 0.000
Pu 5.286 5.286 5.286
Au 3.524 3.524 3.524
```

Values from the calculation:
For the spin magnetization, the calculation gives 6.1 Bohr magnetons per cell. The value obtained for the offset from the most stable computed form is 344.4 meV/atom. The calculation puts the volume at 87.55 Å³ per cell. As for the space-group type: No. 216.

The following is a PBE calculation of crystalline NaPuAu at its relaxed geometry, from OQMD via LeMat-Bulk.

Structure (extended XYZ):
```
3
Lattice="0.000 3.501 3.501 3.501 0.000 3.501 3.501 3.501 0.000" Properties=species:S:1:pos:R:3 pbc="T T T"
Na 0.000 0.000 0.000
Pu 3.501 3.501 3.501
Au 1.750 1.750 1.750
```

Values from the calculation:
For the spin magnetization, the calculation gives 6.1 Bohr magnetons per cell. The value obtained for the offset from the most stable computed form is 0.0 meV/atom. The calculation puts the volume at 85.81 Å³ per cell. As for the space-group type: No. 216.

The following is a PBE calculation of crystalline RbNaAu at its relaxed geometry, from OQMD via LeMat-Bulk.

Structure (extended XYZ):
```
3
Lattice="0.000 3.939 3.939 3.939 0.000 3.939 3.939 3.939 0.000" Properties=species:S:1:pos:R:3 pbc="T T T"
Rb 0.000 0.000 0.000
Na 1.969 1.969 1.969
Au 5.908 5.908 5.908
```

Values from the calculation:
Its total energy is -1.71 eV per atom. The calculation puts the volume at 122.21 Å³ per cell. As for the space-group type: No. 216.